Tb5Nd6Dy after structural relaxation, computed with PBE.

Properties
Energy of formation from the pure elements   0.0107 eV per atom

Geometry as POSCAR:
```
Tb5Nd6Dy
1.0
11.827 -1.405 0.000
1.825 6.014 0.000
0.912 3.007 5.442
Nd Tb Dy
6 5 1
Direct
0.250 0.583 0.333
0.250 0.917 0.667
0.250 0.250 0.000
0.750 0.750 0.000
0.750 0.083 0.333
0.750 0.417 0.667
0.000 0.333 0.333
0.500 0.167 0.667
0.000 0.667 0.667
0.500 0.833 0.333
0.500 0.500 0.000
0.000 0.000 0.000
```

---

Ag5Se4 after structural relaxation, computed with PBE.

Properties
Energy above the lowest structure with this stoichiometry   54 meV/atom

Geometry as POSCAR:
```
Ag5Se4
1.0
-4.824 4.824 2.069
4.824 -4.824 2.069
4.824 4.824 -2.069
Ag Se
5 4
Direct
0.331 0.331 0.661
0.669 0.669 0.339
0.331 0.669 0.000
0.669 0.331 0.000
0.000 0.000 0.000
0.000 0.274 0.274
0.274 0.000 0.274
0.000 0.726 0.726
0.726 0.000 0.726
```

---

Hg3AsBr after structural relaxation, computed with PBE.

Properties
Energy above the lowest structure with this stoichiometry   6 meV/atom

Geometry as POSCAR:
```
Hg3AsBr
1.0
-0.194 -4.740 2.573
5.348 -0.503 -0.523
0.700 2.531 4.715
Hg Br As
3 1 1
Direct
0.500 0.000 0.000
0.000 0.500 0.000
0.000 0.000 0.500
0.500 0.500 0.500
0.000 0.000 0.000
```

---

TbPaPdRu after structural relaxation, computed with PBE.

Properties
Energy of formation from the pure elements   -0.4455 eV per atom

Geometry as POSCAR:
```
TbPaPdRu
1.0
-0.433 -2.573 -4.154
3.219 -3.556 -1.030
-1.401 -4.699 0.160
Pa Ru Tb Pd
1 1 1 1
Direct
0.750 0.750 0.750
0.000 0.000 0.000
0.250 0.250 0.250
0.500 0.500 0.500
```

---

Record-wise E_tot values, in eV per atom: -4.6860 -3.0759 -1.5277 -7.5942